Record 1
MgZn2Au: optimized geometry, GGA-PBE.

As for the calculated total energy: -0.153 Ry/atom.

The space group is F-43m (No. 216) and the conventional cell measures 6.4135, 6.4135 and 6.4135 Å, with angles of 90.00, 90.00 and 90.00 degrees. The distinct sites, in fractional coordinates, are Mg at (0.0000, 0.0000, 0.0000), Zn at (0.0000, 0.0000, 0.5000), Zn at (0.2500, 0.2500, 0.7500) and Au at (0.2500, 0.2500, 0.2500).



Record 2
NdGdTeO2: optimized geometry, GGA-PBE.

As for the calculated total energy: -0.545 Ry/atom. The total magnetization comes out at 0.0001 μB/atom.

The space group is I4mm (No. 107) and the conventional cell measures 3.9999, 3.9999 and 12.7151 Å, with angles of 90.00, 90.00 and 90.00 degrees. The distinct sites, in fractional coordinates, are Nd at (0.0000, 0.0000, 0.0000), Gd at (0.0000, 0.0000, 0.6799), Te at (0.0000, 0.0000, 0.3409) and O at (0.0000, 0.5000, 0.0953).



Record 3
Nb2Se: optimized geometry, GGA-PBE.

As for the calculated total energy: -0.415 Ry/atom. The total magnetization comes out at 2.6094 μB/atom.

The space group is Fd-3m (No. 227, origin choice 2) and the conventional cell measures 11.7873, 11.7873 and 11.7873 Å, with angles of 90.00, 90.00 and 90.00 degrees. The distinct sites, in fractional coordinates, are Nb at (0.0000, 0.0000, 0.0000) and Se at (0.1250, 0.1250, 0.1250).



Record 4
SmCdNi4: optimized geometry, GGA-PBE.

The total magnetization comes out at 0.0069 μB/atom. The calculation puts the formation energy at -31.4 kJ/mol of atoms.

The space group is F-43m (No. 216) and the conventional cell measures 7.0876, 7.0876 and 7.0876 Å, with angles of 90.00, 90.00 and 90.00 degrees. The distinct sites, in fractional coordinates, are Sm at (0.0000, 0.0000, 0.0000), Cd at (0.2500, 0.2500, 0.7500) and Ni at (0.1239, 0.1239, 0.3761).



Record 5
Nd3Cd3GaPt2: optimized geometry, GGA-PBE.

As for the calculated total energy: -0.317 Ry/atom. The total magnetization comes out at 0.0046 μB/atom.

The space group is P-62m (No. 189) and the conventional cell measures 7.7976, 7.7976 and 4.0089 Å, with angles of 90.00, 90.00 and 120.00 degrees. The distinct sites, in fractional coordinates, are Nd at (0.0000, 0.4137, 0.0000), Cd at (0.0000, 0.7456, 0.5000), Ga at (0.0000, 0.0000, 0.0000) and Pt at (0.3333, 0.6667, 0.5000).



Record 6
ReGe2: optimized geometry, GGA-PBE.

The polymorph energy (0 for the lowest one) is 1249 meV/atom. The total magnetization comes out at 0.2117 μB/atom.

The space group is Fd-3m (No. 227, origin choice 2) and the conventional cell measures 7.3319, 7.3319 and 7.3319 Å, with angles of 90.00, 90.00 and 90.00 degrees. The distinct sites, in fractional coordinates, are Re at (0.1250, 0.1250, 0.1250) and Ge at (0.0000, 0.0000, 0.5000).